(1)
DFT (GGA-PBE) results for a relaxed K2Cd4BiAu3 crystal.

Results
Formation enthalpy at 0 K in kJ per mole of atoms: -21.00

a = 4.6842 Å, b = 4.6842 Å, c = 12.6439 Å
α = 90.00°, β = 90.00°, γ = 90.00°
Fractional coordinates of all 10 atoms:
K: 0.0000 0.5000 0.2384
K: 0.5000 0.0000 0.7616
Cd: 0.0000 0.0000 0.0000
Cd: 0.0000 0.5000 0.6504
Cd: 0.5000 0.0000 0.3496
Cd: 0.5000 0.5000 0.0000
Bi: 0.0000 0.0000 0.5000
Au: 0.0000 0.5000 0.8671
Au: 0.5000 0.0000 0.1329
Au: 0.5000 0.5000 0.5000

---

(2)
DFT (GGA-PBE) results for a relaxed Mg2CuOsF crystal.

Results
Formation energy from raw total energies in eV per atom: 0.366

a = 5.0227 Å, b = 5.0227 Å, c = 3.4856 Å
α = 90.00°, β = 90.00°, γ = 90.00°
Fractional coordinates of all 5 atoms:
Mg: 0.0000 0.5000 0.0000
Mg: 0.5000 0.0000 0.0000
Cu: 0.0000 0.0000 0.0000
Os: 0.5000 0.5000 0.5000
F: 0.0000 0.0000 0.5000

---

(3)
DFT (GGA-PBE) results for a relaxed SrCoMo2Pt crystal.

Results
Formation enthalpy at 0 K in kJ per mole of atoms: 73.16

a = 4.5031 Å, b = 4.5031 Å, c = 4.9897 Å
α = 90.00°, β = 90.00°, γ = 90.00°
Fractional coordinates of all 5 atoms:
Sr: 0.0000 0.0000 0.0000
Co: 0.5000 0.5000 0.5000
Mo: 0.0000 0.5000 0.5000
Mo: 0.5000 0.0000 0.5000
Pt: 0.5000 0.5000 0.0000

---

(4)
DFT (GGA-PBE) results for a relaxed CsCaZnTe crystal.

Results
Formation energy from raw total energies in eV per atom: -0.617
Energy relative to the lowest polymorph listed for this composition in meV per atom: 48.0

a = 4.7822 Å, b = 4.7822 Å, c = 8.5810 Å
α = 90.00°, β = 90.00°, γ = 120.00°
Fractional coordinates of all 4 atoms:
Cs: 0.0000 0.0000 0.0000
Ca: 0.3333 0.6667 0.5216
Zn: 0.6667 0.3333 0.3161
Te: 0.6667 0.3333 0.6897

---

(5)
DFT (GGA-PBE) results for a relaxed K2CoHg2 crystal.

Results
Formation enthalpy at 0 K in kJ per mole of atoms: 24.90

a = 7.1972 Å, b = 7.1972 Å, c = 5.7103 Å
α = 90.00°, β = 90.00°, γ = 90.00°
Fractional coordinates of all 10 atoms:
K: 0.1722 0.3278 0.0000
K: 0.3278 0.8278 0.0000
K: 0.6722 0.1722 0.0000
K: 0.8278 0.6722 0.0000
Co: 0.0000 0.0000 0.5000
Co: 0.5000 0.5000 0.5000
Hg: 0.1623 0.6623 0.5000
Hg: 0.3377 0.1623 0.5000
Hg: 0.6623 0.8377 0.5000
Hg: 0.8377 0.3377 0.5000

---

(6)
DFT (GGA-PBE) results for a relaxed CrInTc2C crystal.

Results
Formation enthalpy at 0 K in kJ per mole of atoms: 12.56

a = 4.1537 Å, b = 4.1537 Å, c = 4.0262 Å
α = 90.00°, β = 90.00°, γ = 90.00°
Fractional coordinates of all 5 atoms:
Cr: 0.0000 0.0000 0.0000
In: 0.5000 0.5000 0.0000
Tc: 0.0000 0.5000 0.5000
Tc: 0.5000 0.0000 0.5000
C: 0.0000 0.0000 0.5000

---

(7)
DFT (GGA-PBE) results for a relaxed MgRh3C crystal.

Results
Formation enthalpy at 0 K in kJ per mole of atoms: 17.13

a = 5.1810 Å, b = 5.1810 Å, c = 5.1810 Å
α = 90.51°, β = 90.51°, γ = 90.51°
Fractional coordinates of all 10 atoms:
Mg: 0.0000 0.0000 0.0000
Mg: 0.5000 0.5000 0.5000
Rh: 0.0109 0.7500 0.4891
Rh: 0.2500 0.5109 0.9891
Rh: 0.4891 0.0109 0.7500
Rh: 0.5109 0.9891 0.2500
Rh: 0.7500 0.4891 0.0109
Rh: 0.9891 0.2500 0.5109
C: 0.2500 0.2500 0.2500
C: 0.7500 0.7500 0.7500

---

(8)
DFT (GGA-PBE) results for a relaxed Ge2Os2W crystal.

Results
Energy relative to the lowest polymorph listed for this composition in meV per atom: 0.0
Formation enthalpy at 0 K in kJ per mole of atoms: 37.91

a = 7.2213 Å, b = 7.2213 Å, c = 2.8655 Å
α = 90.00°, β = 90.00°, γ = 90.00°
Fractional coordinates of all 10 atoms:
Ge: 0.1442 0.3558 0.0000
Ge: 0.3558 0.8558 0.0000
Ge: 0.6442 0.1442 0.0000
Ge: 0.8558 0.6442 0.0000
Os: 0.1558 0.6558 0.5000
Os: 0.3442 0.1558 0.5000
Os: 0.6558 0.8442 0.5000
Os: 0.8442 0.3442 0.5000
W: 0.0000 0.0000 0.0000
W: 0.5000 0.5000 0.0000

---

(9)
DFT (GGA-PBE) results for a relaxed CuPOsS crystal.

Results
Formation energy from raw total energies in eV per atom: -0.016
Energy relative to the lowest polymorph listed for this composition in meV per atom: 55.3

a = 2.9609 Å, b = 4.1906 Å, c = 5.5596 Å
α = 76.83°, β = 85.31°, γ = 72.34°
Fractional coordinates of all 4 atoms:
Cu: 0.0000 0.0000 0.0000
P: 0.1314 0.7927 0.6485
Os: 0.4364 0.2502 0.5696
S: 0.9194 0.4150 0.2264

---

(10)
DFT (GGA-PBE) results for a relaxed Cr6NiRh5 crystal.

Results
Formation enthalpy at 0 K in kJ per mole of atoms: -4.83

a = 7.0397 Å, b = 7.0397 Å, c = 7.0397 Å
α = 149.28°, β = 116.95°, γ = 71.77°
Fractional coordinates of all 12 atoms:
Cr: 0.0856 0.3375 0.7481
Cr: 0.2473 0.0000 0.2473
Cr: 0.4106 0.6625 0.7481
Cr: 0.5894 0.3375 0.2519
Cr: 0.7527 0.0000 0.7527
Cr: 0.9144 0.6625 0.2519
Ni: 0.0000 0.5000 0.5000
Rh: 0.1614 0.1614 0.0000
Rh: 0.3307 0.8307 0.5000
Rh: 0.5000 0.5000 0.0000
Rh: 0.6693 0.1693 0.5000
Rh: 0.8386 0.8386 0.0000

---

(11)
DFT (GGA-PBE) results for a relaxed Tb5Sn2Bi2 crystal.

Results
Formation enthalpy at 0 K in kJ per mole of atoms: -78.17

a = 8.8604 Å, b = 8.8604 Å, c = 8.2721 Å
α = 90.00°, β = 90.00°, γ = 55.47°
Fractional coordinates of all 18 atoms:
Tb: 0.0000 0.0000 0.0000
Tb: 0.0339 0.7031 0.6641
Tb: 0.2031 0.5339 0.1641
Tb: 0.2969 0.9661 0.6641
Tb: 0.4661 0.7969 0.1641
Tb: 0.5000 0.5000 0.5000
Tb: 0.5339 0.2031 0.8359
Tb: 0.7031 0.0339 0.3359
Tb: 0.7969 0.4661 0.8359
Tb: 0.9661 0.2969 0.3359
Sn: 0.1365 0.8635 0.3640
Sn: 0.3635 0.6365 0.8640
Sn: 0.6365 0.3635 0.1360
Sn: 0.8635 0.1365 0.6360
Bi: 0.2044 0.2044 0.0000
Bi: 0.2956 0.2956 0.5000
Bi: 0.7044 0.7044 0.5000
Bi: 0.7956 0.7956 0.0000

---

(12)
DFT (GGA-PBE) results for a relaxed LiAgPt2 crystal.

Results
Energy relative to the lowest polymorph listed for this composition in meV per atom: 78.0
Formation enthalpy at 0 K in kJ per mole of atoms: -25.90

a = 3.8636 Å, b = 3.8636 Å, c = 4.1465 Å
α = 90.00°, β = 90.00°, γ = 90.00°
Fractional coordinates of all 4 atoms:
Li: 0.0000 0.0000 0.0000
Ag: 0.5000 0.5000 0.0000
Pt: 0.0000 0.5000 0.5000
Pt: 0.5000 0.0000 0.5000

---

(13)
DFT (GGA-PBE) results for a relaxed Pu2BiN2 crystal.

Results
Formation energy from raw total energies in eV per atom: -1.047

a = 7.2500 Å, b = 7.2500 Å, c = 7.2500 Å
α = 149.06°, β = 149.06°, γ = 44.32°
Fractional coordinates of all 5 atoms:
Pu: 0.1683 0.1683 0.0000
Pu: 0.8317 0.8317 0.0000
Bi: 0.5000 0.5000 0.0000
N: 0.2500 0.7500 0.5000
N: 0.7500 0.2500 0.5000

---

(14)
DFT (GGA-PBE) results for a relaxed Cs2SbIrCl6 crystal.

Results
Formation energy from raw total energies in eV per atom: -0.988

a = 7.4344 Å, b = 7.4344 Å, c = 7.4344 Å
α = 120.15°, β = 120.15°, γ = 89.74°
Fractional coordinates of all 10 atoms:
Cs: 0.2500 0.7500 0.5000
Cs: 0.7500 0.2500 0.5000
Sb: 0.0000 0.0000 0.0000
Ir: 0.5000 0.5000 0.0000
Cl: 0.2661 0.2661 0.0000
Cl: 0.2659 0.2659 0.5318
Cl: 0.2659 0.7341 0.0000
Cl: 0.7341 0.2659 0.0000
Cl: 0.7339 0.7339 0.0000
Cl: 0.7341 0.7341 0.4682

---

(15)
DFT (GGA-PBE) results for a relaxed Zr2BeGe crystal.

Results
Formation enthalpy at 0 K in kJ per mole of atoms: -30.23

a = 6.6292 Å, b = 6.6292 Å, c = 6.6292 Å
α = 32.16°, β = 32.16°, γ = 32.16°
Fractional coordinates of all 4 atoms:
Zr: 0.0000 0.0000 0.0000
Zr: 0.2016 0.2016 0.2016
Be: 0.7685 0.7685 0.7685
Ge: 0.4343 0.4343 0.4343

---

(16)
DFT (GGA-PBE) results for a relaxed AlGe2Te2Pd7 crystal.

Results
Formation energy from raw total energies in eV per atom: -0.406

a = 3.9493 Å, b = 3.9493 Å, c = 15.0130 Å
α = 97.38°, β = 97.38°, γ = 90.02°
Fractional coordinates of all 12 atoms:
Al: 0.0000 0.0000 0.0000
Ge: 0.3852 0.3852 0.7651
Ge: 0.6148 0.6148 0.2349
Te: 0.2047 0.2047 0.4125
Te: 0.7953 0.7953 0.5875
Pd: 0.0639 0.5638 0.1311
Pd: 0.3010 0.3010 0.5987
Pd: 0.4362 0.9361 0.8689
Pd: 0.5000 0.5000 0.0000
Pd: 0.5638 0.0639 0.1311
Pd: 0.6990 0.6990 0.4013
Pd: 0.9361 0.4362 0.8689

---

(17)
DFT (GGA-PBE) results for a relaxed FeNiPt5 crystal.

Results
Energy relative to the lowest polymorph listed for this composition in meV per atom: 0.0
Formation enthalpy at 0 K in kJ per mole of atoms: -3.59

a = 4.5974 Å, b = 4.5974 Å, c = 5.4919 Å
α = 90.00°, β = 90.00°, γ = 106.80°
Fractional coordinates of all 7 atoms:
Fe: 0.0000 0.0000 0.0000
Ni: 0.5000 0.5000 0.5000
Pt: 0.0000 0.5000 0.2607
Pt: 0.0000 0.5000 0.7393
Pt: 0.5000 0.0000 0.2607
Pt: 0.5000 0.0000 0.7393
Pt: 0.5000 0.5000 0.0000

---

(18)
DFT (GGA-PBE) results for a relaxed KPb2Se2 crystal.

Results
Formation energy from raw total energies in eV per atom: -0.467
Energy relative to the lowest polymorph listed for this composition in meV per atom: 94.8

a = 8.5039 Å, b = 8.5039 Å, c = 4.1500 Å
α = 90.00°, β = 90.00°, γ = 90.00°
Fractional coordinates of all 10 atoms:
K: 0.0000 0.0000 0.0000
K: 0.5000 0.5000 0.0000
Pb: 0.1417 0.3583 0.5000
Pb: 0.3583 0.8583 0.5000
Pb: 0.6417 0.1417 0.5000
Pb: 0.8583 0.6417 0.5000
Se: 0.1565 0.6565 0.0000
Se: 0.3435 0.1565 0.0000
Se: 0.6565 0.8435 0.0000
Se: 0.8435 0.3435 0.0000

---

(19)
DFT (GGA-PBE) results for a relaxed Hf2PaNi9 crystal.

Results
Formation enthalpy at 0 K in kJ per mole of atoms: -45.93

a = 8.4469 Å, b = 8.4469 Å, c = 8.4469 Å
α = 33.42°, β = 33.42°, γ = 33.42°
Fractional coordinates of all 12 atoms:
Hf: 0.1401 0.1401 0.1401
Hf: 0.8599 0.8599 0.8599
Pa: 0.0000 0.0000 0.0000
Ni: 0.0818 0.5874 0.5874
Ni: 0.3337 0.3337 0.3337
Ni: 0.4126 0.4126 0.9182
Ni: 0.4126 0.9182 0.4126
Ni: 0.5000 0.5000 0.5000
Ni: 0.5874 0.0818 0.5874
Ni: 0.5874 0.5874 0.0818
Ni: 0.6663 0.6663 0.6663
Ni: 0.9182 0.4126 0.4126

---

(20)
DFT (GGA-PBE) results for a relaxed HoGeSb2 crystal.

Results
Formation energy from raw total energies in eV per atom: -0.343
Energy relative to the lowest polymorph listed for this composition in meV per atom: 0.0

a = 4.8545 Å, b = 4.8545 Å, c = 4.2289 Å
α = 90.00°, β = 90.00°, γ = 90.00°
Fractional coordinates of all 4 atoms:
Ho: 0.0000 0.0000 0.0000
Ge: 0.5000 0.5000 0.0000
Sb: 0.0000 0.5000 0.5000
Sb: 0.5000 0.0000 0.5000

---

These records have E_tot values of -2.174 -3.711 -6.540 -2.435 -1.723 -8.333 -6.397 -8.537 -6.232 -8.407 -5.135 -4.480 -10.886 -3.565 -6.673 -5.041 -6.387 -3.564 -7.262 -4.703 eV per atom, in the order they appear.